(1)
Density functional theory data (PBE) for CoAgBi3 after structural relaxation.

```
CoAgBi3
1.0
-5.046 -0.802 -0.464
0.927 -4.333 -2.585
0.012 -2.626 4.407
Co Bi Ag
1 3 1
direct
0.000 0.000 0.000
0.000 0.500 0.000
0.000 0.000 0.500
0.500 0.000 0.000
0.500 0.500 0.500
```

Output
- Energy relative to the elements: 0.419 eV/atom
- Energy above the lowest structure with this stoichiometry: 0.000 eV/f.u.
- Magnetization: 0.00 μB/f.u.

---

(2)
Density functional theory data (PBE) for CoAg3Bi after structural relaxation.

```
CoAg3Bi
1.0
4.837 0.000 0.000
0.000 4.837 0.000
0.000 0.000 4.837
Co Bi Ag
1 1 3
direct
0.000 0.000 0.000
0.500 0.500 0.500
0.000 0.500 0.000
0.000 0.000 0.500
0.500 0.000 0.000
```

Output
- Energy relative to the elements: 0.733 eV/atom
- Magnetization: 1.83 μB/f.u.